No. 1
## Pm3DyYTh (PBE)

Data for an optimized crystal structure of Pm3DyYTh.

Cell: 8.0689 5.1063 10.2090 Å, 90.00 108.25 90.00°
Last column: nearest neighbours and their distance in Å.
Sites, in units of the cell vectors:
1 Pm 0.1715 0.2500 0.0435  3 Dy 3.59-3.60, 5 Pm 3.60-3.71, 1 Th 3.60, 3 Y 3.62-3.65
2 Pm 0.1781 0.2500 0.5447  1 Dy 3.53, 3 Th 3.53-3.55, 3 Y 3.61-3.70, 5 Pm 3.61-3.74
3 Pm 0.1776 0.7500 0.2940  1 Dy 3.53, 3 Th 3.54-3.55, 6 Pm 3.60-3.73, 2 Y 3.69
4 Pm 0.8224 0.2500 0.7060  1 Dy 3.53, 3 Th 3.54-3.55, 6 Pm 3.60-3.73, 2 Y 3.69
5 Pm 0.8219 0.7500 0.4553  1 Dy 3.53, 3 Th 3.53-3.55, 3 Y 3.61-3.70, 5 Pm 3.61-3.74
6 Pm 0.8285 0.7500 0.9565  3 Dy 3.59-3.60, 5 Pm 3.60-3.71, 1 Th 3.60, 3 Y 3.62-3.65
7 Dy 0.4987 0.2500 0.8719  5 Pm 3.53-3.60, 3 Y 3.58-3.62, 2 Th 3.61, 2 Dy 3.65
8 Dy 0.5013 0.7500 0.1281  5 Pm 3.53-3.60, 3 Y 3.58-3.62, 2 Th 3.61, 2 Dy 3.65
9 Y 0.1707 0.7500 0.7924  3 Dy 3.58-3.62, 1 Th 3.60, 8 Pm 3.61-3.70
10 Y 0.8293 0.2500 0.2076  3 Dy 3.58-3.62, 1 Th 3.60, 8 Pm 3.61-3.70
11 Th 0.5002 0.2500 0.3774  7 Pm 3.53-3.60, 2 Th 3.58, 1 Y 3.60, 2 Dy 3.61
12 Th 0.4998 0.7500 0.6226  7 Pm 3.53-3.60, 2 Th 3.58, 1 Y 3.60, 2 Dy 3.61

Output
theoretical density = 7.636 g/cm³
energy of formation from the pure elements = 0.03 eV per atom
size of the total moment = 0.0 μB/f.u.
space-group type = P2_1/m, No. 11


No. 2
## PmDy2Y6Th2 (PBE)

Data for an optimized crystal structure of PmDy2Y6Th2.

Cell: 6.1682 6.1682 11.6098 Å, 95.33 95.33 120.32°
Last column: nearest neighbours and their distance in Å.
Sites, in units of the cell vectors:
1 Pm 0.0000 0.0000 0.0000  6 Dy 3.54-3.58, 6 Y 3.55-3.56
2 Dy 0.3348 0.6652 0.0000  6 Y 3.53-3.57, 3 Dy 3.54-3.57, 3 Pm 3.54-3.58
3 Dy 0.6652 0.3348 0.0000  6 Y 3.53-3.57, 3 Dy 3.54-3.57, 3 Pm 3.54-3.58
4 Y 0.0876 0.4208 0.2559  2 Th 3.47-3.48, 6 Y 3.55-3.57, 1 Pm 3.56, 2 Dy 3.57
5 Y 0.2467 0.2467 0.7467  2 Th 3.46, 2 Dy 3.53, 6 Y 3.55-3.57, 1 Pm 3.55
6 Y 0.4208 0.0876 0.2559  2 Th 3.47-3.48, 6 Y 3.55-3.57, 1 Pm 3.56, 2 Dy 3.57
7 Y 0.5792 0.9124 0.7441  2 Th 3.47-3.48, 6 Y 3.55-3.57, 1 Pm 3.56, 2 Dy 3.57
8 Y 0.7533 0.7533 0.2533  2 Th 3.46, 2 Dy 3.53, 6 Y 3.55-3.57, 1 Pm 3.55
9 Y 0.9124 0.5792 0.7441  2 Th 3.47-3.48, 6 Y 3.55-3.57, 1 Pm 3.56, 2 Dy 3.57
10 Th 0.1637 0.8363 0.5000  6 Y 3.46-3.48, 3 Th 3.50-3.58
11 Th 0.8363 0.1637 0.5000  6 Y 3.46-3.48, 3 Th 3.50-3.58

Output
theoretical density = 6.505 g/cm³
energy of formation from the pure elements = 0.22 eV per atom
size of the total moment = 0.0 μB/f.u.
space-group type = C2/m, No. 12


No. 3
## PmDyYTh (PBE)

Data for an optimized crystal structure of PmDyYTh.

Cell: 8.0717 8.0717 8.0717 Å, 90.00 90.00 90.00°
Last column: nearest neighbours and their distance in Å.
Sites, in units of the cell vectors:
1 Pm 0.0000 0.0000 0.0000  4 Dy 3.50, 4 Y 3.50
2 Pm 0.0000 0.5000 0.5000  4 Dy 3.50, 4 Y 3.50
3 Pm 0.5000 0.0000 0.5000  4 Dy 3.50, 4 Y 3.50
4 Pm 0.5000 0.5000 0.0000  4 Dy 3.50, 4 Y 3.50
5 Dy 0.2500 0.2500 0.2500  4 Th 3.50, 4 Pm 3.50
6 Dy 0.2500 0.7500 0.7500  4 Th 3.50, 4 Pm 3.50
7 Dy 0.7500 0.2500 0.7500  4 Th 3.50, 4 Pm 3.50
8 Dy 0.7500 0.7500 0.2500  4 Th 3.50, 4 Pm 3.50
9 Y 0.2500 0.2500 0.7500  4 Th 3.50, 4 Pm 3.50
10 Y 0.2500 0.7500 0.2500  4 Th 3.50, 4 Pm 3.50
11 Y 0.7500 0.2500 0.2500  4 Th 3.50, 4 Pm 3.50
12 Y 0.7500 0.7500 0.7500  4 Th 3.50, 4 Pm 3.50
13 Th 0.0000 0.0000 0.5000  4 Dy 3.50, 4 Y 3.50
14 Th 0.0000 0.5000 0.0000  4 Dy 3.50, 4 Y 3.50
15 Th 0.5000 0.0000 0.0000  4 Dy 3.50, 4 Y 3.50
16 Th 0.5000 0.5000 0.5000  4 Dy 3.50, 4 Y 3.50

Output
energy above the most stable polymorph in this dataset = 131 meV per atom
theoretical density = 7.937 g/cm³
energy of formation from the pure elements = 0.14 eV per atom
size of the total moment = 0.0 μB/f.u.
space-group type = F-43m, No. 216


No. 4
## Pm2Dy2Y6Th (PBE)

Data for an optimized crystal structure of Pm2Dy2Y6Th.

Cell: 6.6619 6.6619 10.6559 Å, 90.02 90.02 129.24°
Last column: nearest neighbours and their distance in Å.
Sites, in units of the cell vectors:
1 Pm 0.1356 0.8644 0.0000  1 Pm 3.27, 8 Y 3.42-3.65
2 Pm 0.8644 0.1356 0.0000  1 Pm 3.27, 8 Y 3.42-3.65
3 Dy 0.2019 0.7981 0.5000  2 Dy 3.08, 2 Y 3.30
4 Dy 0.7981 0.2019 0.5000  2 Dy 3.08, 2 Y 3.30
5 Y 0.0007 0.0007 0.2907  2 Dy 3.30, 4 Y 3.49, 2 Pm 3.50, 2 Th 3.62-3.63
6 Y 0.3476 0.6511 0.7877  3 Pm 3.42-3.65, 5 Y 3.49-3.71, 1 Dy 3.54, 1 Th 3.57
7 Y 0.3489 0.6524 0.2123  3 Pm 3.42-3.65, 5 Y 3.49-3.71, 1 Dy 3.54, 1 Th 3.57
8 Y 0.6511 0.3476 0.7877  3 Pm 3.42-3.65, 5 Y 3.49-3.71, 1 Dy 3.54, 1 Th 3.57
9 Y 0.6524 0.3489 0.2123  3 Pm 3.42-3.65, 5 Y 3.49-3.71, 1 Dy 3.54, 1 Th 3.57
10 Y 0.9993 0.9993 0.7093  2 Dy 3.30, 4 Y 3.49, 2 Pm 3.50, 2 Th 3.62-3.63
11 Th 0.5000 0.5000 0.5000  8 Y 3.57-3.63, 6 Dy 3.59-3.75

Output
theoretical density = 6.259 g/cm³
energy of formation from the pure elements = 0.15 eV per atom
size of the total moment = 0.0 μB/f.u.
space-group type = C2/m, No. 12


No. 5
## Pm5DyY2Th (PBE)

Data for an optimized crystal structure of Pm5DyY2Th.

Cell: 10.6160 10.6160 10.6037 Å, 90.00 90.00 149.03°
Last column: nearest neighbours and their distance in Å.
Sites, in units of the cell vectors:
1 Pm 0.0158 0.9842 0.5000  2 Dy 3.32, 3 Y 3.47-3.60, 2 Pm 3.70
2 Pm 0.2778 0.7222 0.7903  1 Dy 3.06, 1 Y 3.31, 2 Pm 3.39
3 Pm 0.2934 0.7066 0.1824  2 Pm 3.39, 1 Dy 3.49, 3 Th 3.49-3.77, 3 Y 3.59-3.73
4 Pm 0.3897 0.6103 0.5055  5 Pm 3.51-3.83, 4 Y 3.61, 1 Th 3.87
5 Pm 0.4801 0.5199 0.2239  2 Dy 3.24-3.40, 2 Pm 3.51-3.53, 2 Y 3.53
6 Pm 0.5199 0.4801 0.7239  2 Dy 3.24-3.40, 2 Pm 3.51-3.53, 2 Y 3.53
7 Pm 0.6103 0.3897 0.0055  5 Pm 3.51-3.83, 4 Y 3.61, 1 Th 3.87
8 Pm 0.7066 0.2934 0.6824  2 Pm 3.39, 1 Dy 3.49, 3 Th 3.49-3.77, 3 Y 3.59-3.73
9 Pm 0.7222 0.2778 0.2903  1 Dy 3.06, 1 Y 3.31, 2 Pm 3.39
10 Pm 0.9842 0.0158 0.0000  2 Dy 3.32, 3 Y 3.47-3.60, 2 Pm 3.70
11 Dy 0.4065 0.5935 0.9366  5 Pm 3.06-3.40
12 Dy 0.5935 0.4065 0.4366  5 Pm 3.06-3.40
13 Y 0.1122 0.8878 0.2158  1 Th 3.43, 7 Pm 3.48-3.73, 2 Dy 3.70
14 Y 0.1160 0.8840 0.7946  8 Pm 3.31-3.61, 1 Th 3.67
15 Y 0.8840 0.1160 0.2946  8 Pm 3.31-3.61, 1 Th 3.67
16 Y 0.8878 0.1122 0.7158  1 Th 3.43, 7 Pm 3.48-3.73, 2 Dy 3.70
17 Th 0.2009 0.7991 0.4902  2 Y 3.43-3.67, 7 Pm 3.49-3.79, 2 Dy 3.63
18 Th 0.7991 0.2009 0.9902  2 Y 3.43-3.67, 7 Pm 3.49-3.79, 2 Dy 3.63

Output
theoretical density = 7.006 g/cm³
energy of formation from the pure elements = 0.15 eV per atom
size of the total moment = 0.0 μB/f.u.
space-group type = Cmc2_1, No. 36


No. 6
## PmDyYTh (PBE)

Data for an optimized crystal structure of PmDyYTh.

Cell: 3.6059 3.6059 34.6987 Å, 90.00 90.00 120.00°
Last column: nearest neighbours and their distance in Å.
Sites, in units of the cell vectors:
1 Pm 0.0000 0.0000 0.0000  3 Dy 3.60, 6 Pm 3.61, 3 Y 3.65
2 Pm 0.3333 0.6667 0.6667  3 Dy 3.60, 6 Pm 3.61, 3 Y 3.65
3 Pm 0.6667 0.3333 0.3333  3 Dy 3.60, 6 Pm 3.61, 3 Y 3.65
4 Dy 0.0000 0.0000 0.2486  3 Th 3.48, 3 Pm 3.60, 6 Dy 3.61
5 Dy 0.3333 0.6667 0.9152  3 Th 3.48, 3 Pm 3.60, 6 Dy 3.61
6 Dy 0.6667 0.3333 0.5819  3 Th 3.48, 3 Pm 3.60, 6 Dy 3.61
7 Y 0.0000 0.0000 0.4198  3 Th 3.52, 6 Y 3.61, 3 Pm 3.65
8 Y 0.3333 0.6667 0.0865  3 Th 3.52, 6 Y 3.61, 3 Pm 3.65
9 Y 0.6667 0.3333 0.7531  3 Th 3.52, 6 Y 3.61, 3 Pm 3.65
10 Th 0.0000 0.0000 0.8348  3 Dy 3.48, 3 Y 3.52, 6 Th 3.61
11 Th 0.3333 0.6667 0.5014  3 Dy 3.48, 3 Y 3.52, 6 Th 3.61
12 Th 0.6667 0.3333 0.1681  3 Dy 3.48, 3 Y 3.52, 6 Th 3.61

Output
energy above the most stable polymorph in this dataset = 0 meV per atom
theoretical density = 8.012 g/cm³
energy of formation from the pure elements = 0.01 eV per atom
size of the total moment = 0.0 μB/f.u.
space-group type = R3m, No. 160


No. 7
## Pm3DyY6Th2 (PBE)

Data for an optimized crystal structure of Pm3DyY6Th2.

Cell: 6.2240 6.2240 11.8393 Å, 95.04 95.04 119.97°
Last column: nearest neighbours and their distance in Å.
Sites, in units of the cell vectors:
1 Pm 0.0000 0.0000 0.0000  6 Pm 3.59-3.60, 6 Y 3.60-3.63
2 Pm 0.3337 0.6663 0.0000  6 Pm 3.59-3.60, 6 Y 3.61-3.63
3 Pm 0.6663 0.3337 0.0000  6 Pm 3.59-3.60, 6 Y 3.61-3.63
4 Dy 0.5000 0.5000 0.5000  6 Y 3.55, 6 Th 3.59
5 Y 0.0808 0.4182 0.2546  2 Th 3.53, 1 Dy 3.55, 6 Y 3.57-3.64, 3 Pm 3.61-3.63
6 Y 0.2445 0.2445 0.7458  2 Th 3.53, 1 Dy 3.55, 6 Y 3.57-3.64, 3 Pm 3.60-3.62
7 Y 0.4182 0.0808 0.2546  2 Th 3.53, 1 Dy 3.55, 6 Y 3.57-3.64, 3 Pm 3.61-3.63
8 Y 0.5818 0.9192 0.7454  2 Th 3.53, 1 Dy 3.55, 6 Y 3.57-3.64, 3 Pm 3.61-3.63
9 Y 0.7555 0.7555 0.2542  2 Th 3.53, 1 Dy 3.55, 6 Y 3.57-3.64, 3 Pm 3.60-3.62
10 Y 0.9192 0.5818 0.7454  2 Th 3.53, 1 Dy 3.55, 6 Y 3.57-3.64, 3 Pm 3.61-3.63
11 Th 0.1666 0.8334 0.5000  6 Y 3.53, 3 Th 3.59-3.60, 3 Dy 3.59
12 Th 0.8334 0.1666 0.5000  6 Y 3.53, 3 Th 3.59-3.60, 3 Dy 3.59

Output
theoretical density = 6.771 g/cm³
energy of formation from the pure elements = 0.02 eV per atom
size of the total moment = 0.0 μB/f.u.
space-group type = C2/m, No. 12


No. 8
## PmDyThZn (PBE)

Data for an optimized crystal structure of PmDyThZn.

Cell: 7.6353 7.6353 7.6353 Å, 90.00 90.00 90.00°
Last column: nearest neighbours and their distance in Å.
Sites, in units of the cell vectors:
1 Pm 0.0000 0.0000 0.0000  4 Th 3.31, 4 Dy 3.31
2 Pm 0.0000 0.5000 0.5000  4 Th 3.31, 4 Dy 3.31
3 Pm 0.5000 0.0000 0.5000  4 Th 3.31, 4 Dy 3.31
4 Pm 0.5000 0.5000 0.0000  4 Th 3.31, 4 Dy 3.31
5 Dy 0.2500 0.2500 0.2500  4 Pm 3.31, 4 Zn 3.31
6 Dy 0.2500 0.7500 0.7500  4 Pm 3.31, 4 Zn 3.31
7 Dy 0.7500 0.2500 0.7500  4 Pm 3.31, 4 Zn 3.31
8 Dy 0.7500 0.7500 0.2500  4 Pm 3.31, 4 Zn 3.31
9 Th 0.2500 0.2500 0.7500  4 Zn 3.31, 4 Pm 3.31
10 Th 0.2500 0.7500 0.2500  4 Zn 3.31, 4 Pm 3.31
11 Th 0.7500 0.2500 0.2500  4 Zn 3.31, 4 Pm 3.31
12 Th 0.7500 0.7500 0.7500  4 Zn 3.31, 4 Pm 3.31
13 Zn 0.0000 0.0000 0.5000  4 Dy 3.31, 4 Th 3.31
14 Zn 0.0000 0.5000 0.0000  4 Dy 3.31, 4 Th 3.31
15 Zn 0.5000 0.0000 0.0000  4 Dy 3.31, 4 Th 3.31
16 Zn 0.5000 0.5000 0.5000  4 Dy 3.31, 4 Th 3.31

Output
energy above the most stable polymorph in this dataset = 282 meV per atom
theoretical density = 9.027 g/cm³
energy of formation from the pure elements = 0.13 eV per atom
size of the total moment = 0.0 μB/f.u.
space-group type = F-43m, No. 216


No. 9
## PmDyThZn (PBE)

Data for an optimized crystal structure of PmDyThZn.

Cell: 3.5899 3.5899 8.6481 Å, 90.00 90.00 90.00°
Last column: nearest neighbours and their distance in Å.
Sites, in units of the cell vectors:
1 Pm 0.0000 0.0000 0.0000  4 Zn 3.19
2 Dy 0.0000 0.0000 0.4265  4 Zn 3.09
3 Th 0.5000 0.5000 0.7088  4 Dy 3.52, 4 Pm 3.58, 4 Th 3.59
4 Zn 0.5000 0.5000 0.2230  4 Dy 3.09, 4 Pm 3.19

Output
energy above the most stable polymorph in this dataset = 0 meV per atom
theoretical density = 9.013 g/cm³
energy of formation from the pure elements = -0.15 eV per atom
size of the total moment = 0.0 μB/f.u.
space-group type = P4mm, No. 99


No. 10
## PmDyThZr (PBE)

Data for an optimized crystal structure of PmDyThZr.

Cell: 7.7922 7.7922 7.7922 Å, 90.00 90.00 90.00°
Last column: nearest neighbours and their distance in Å.
Sites, in units of the cell vectors:
1 Pm 0.0000 0.0000 0.0000  4 Dy 3.37, 4 Th 3.37
2 Pm 0.0000 0.5000 0.5000  4 Dy 3.37, 4 Th 3.37
3 Pm 0.5000 0.0000 0.5000  4 Dy 3.37, 4 Th 3.37
4 Pm 0.5000 0.5000 0.0000  4 Dy 3.37, 4 Th 3.37
5 Dy 0.2500 0.2500 0.7500  4 Zr 3.37, 4 Pm 3.37
6 Dy 0.2500 0.7500 0.2500  4 Zr 3.37, 4 Pm 3.37
7 Dy 0.7500 0.2500 0.2500  4 Zr 3.37, 4 Pm 3.37
8 Dy 0.7500 0.7500 0.7500  4 Zr 3.37, 4 Pm 3.37
9 Th 0.2500 0.2500 0.2500  4 Zr 3.37, 4 Pm 3.37
10 Th 0.2500 0.7500 0.7500  4 Zr 3.37, 4 Pm 3.37
11 Th 0.7500 0.2500 0.7500  4 Zr 3.37, 4 Pm 3.37
12 Th 0.7500 0.7500 0.2500  4 Zr 3.37, 4 Pm 3.37
13 Zr 0.0000 0.0000 0.5000  4 Th 3.37, 4 Dy 3.37
14 Zr 0.0000 0.5000 0.0000  4 Th 3.37, 4 Dy 3.37
15 Zr 0.5000 0.0000 0.0000  4 Th 3.37, 4 Dy 3.37
16 Zr 0.5000 0.5000 0.5000  4 Th 3.37, 4 Dy 3.37

Output
theoretical density = 8.855 g/cm³
energy of formation from the pure elements = 0.21 eV per atom
size of the total moment = 0.0 μB/f.u.
space-group type = F-43m, No. 216